*i*
VASP calculation (GGA+U) on a relaxed Fe2CuO4 crystal.

The structure in POSCAR format:
```
Fe2CuO4
1.0
2.697 -2.551 4.738
-4.630 -3.637 1.252
2.604 0.233 -5.422
Fe Cu O
4 2 8
Direct
0.500 0.500 0.000
0.607 0.857 0.750
0.393 0.143 0.250
0.000 0.500 0.500
0.000 0.500 0.000
0.000 0.000 0.500
0.257 0.276 0.981
0.264 0.747 0.982
0.205 0.724 0.481
0.264 0.282 0.518
0.736 0.253 0.018
0.743 0.724 0.019
0.736 0.718 0.482
0.795 0.276 0.519
```

## Properties
* size of the total moment: 6.981 μB/f.u.

***

*ii*
VASP calculation (GGA+U) on a relaxed Fe2CuO4 crystal.

The structure in POSCAR format:
```
Fe2CuO4
1.0
-4.058 0.795 4.361
3.664 -2.729 3.905
1.964 4.713 -3.173
Fe Cu O
4 2 8
Direct
0.875 0.625 0.250
0.375 0.125 0.750
0.375 0.625 0.250
0.375 0.625 0.750
0.000 0.000 0.000
0.750 0.250 0.500
0.615 0.385 0.229
0.615 0.845 0.229
0.615 0.385 0.771
0.135 0.405 0.271
0.135 0.865 0.271
0.155 0.385 0.771
0.595 0.865 0.729
0.135 0.865 0.729
```

## Properties
* size of the total moment: 8.995 μB/f.u.

***

Which structure is most stable? *ii*, by 0.258 eV/atom over the runner-up.

***

*i*
VASP calculation (GGA+U) on a relaxed FeCuP2O crystal.

The structure in POSCAR format:
```
FeCuP2O
1.0
-3.554 -2.112 -2.145
2.758 -0.954 -3.630
0.917 -3.068 1.503
O P Fe Cu
1 2 1 1
Direct
0.000 0.000 0.500
0.000 0.500 0.000
0.500 0.000 0.000
0.500 0.500 0.500
0.000 0.000 0.000
```

## Properties
* size of the total moment: 3.893 μB/f.u.

***

*ii*
VASP calculation (GGA+U) on a relaxed FeCuP2O crystal.

The structure in POSCAR format:
```
FeCuP2O
1.0
4.600 0.000 0.000
0.000 4.600 0.000
0.000 0.000 3.312
O P Fe Cu
1 2 1 1
Direct
0.000 0.000 0.500
0.000 0.500 0.000
0.500 0.000 0.000
0.000 0.000 0.000
0.500 0.500 0.500
```

## Properties
* size of the total moment: 0.000 μB/f.u.

***

Which structure is most stable? *i*, by 0.042 eV/atom over the runner-up.

***

*i*
VASP calculation (GGA+U) on a relaxed FeCuSO crystal.

The structure in POSCAR format:
```
FeCuSO
1.0
3.638 0.000 0.000
0.000 3.638 0.000
0.000 0.000 8.277
O S Fe Cu
2 2 2 2
Direct
0.000 0.000 0.000
0.500 0.500 0.000
0.000 0.500 0.685
0.500 0.000 0.315
0.000 0.500 0.110
0.500 0.000 0.890
0.000 0.000 0.500
0.500 0.500 0.500
```

## Properties
* size of the total moment: 4.821 μB/f.u.

***

*ii*
VASP calculation (GGA+U) on a relaxed FeCuSO crystal.

The structure in POSCAR format:
```
FeCuSO
1.0
-2.924 0.157 -1.511
-4.126 -3.513 3.951
-0.682 5.465 1.732
O S Fe Cu
2 2 2 2
Direct
0.485 0.171 0.159
0.606 0.908 0.709
0.911 0.295 0.661
0.180 0.785 0.207
0.546 0.040 0.434
0.046 0.039 0.934
0.755 0.612 0.632
0.336 0.467 0.234
```

## Properties
* size of the total moment: 3.032 μB/f.u.

***

Which structure is most stable? *ii*, by 0.080 eV/atom over the runner-up.